No. 1
{
  "formula": "ScP2O",
  "functional": "PBE-GGA",
  "state": "optimized geometry",
  "cell": [[-2.364, 2.364, 5.991], [2.364, -2.364, 5.991], [2.364, 2.364, -5.991]],
  "species": ["Sc", "Sc", "P", "P", "P", "P", "O", "O"],
  "fractional_positions": [[0.000, 0.000, 0.000], [0.750, 0.250, 0.500], [0.360, 0.625, 0.235], [0.375, 0.610, 0.735], [0.390, 0.125, 0.765], [0.875, 0.640, 0.265], [0.250, 0.750, 0.500], [0.500, 0.500, 0.000]],
  "n_ef_per_ev_atom": 0.18,
  "m_tot_mub_per_fu": 0.000,
  "formation_energy_uncorrected_ev_per_atom": -0.3176,
  "sg": "No. 122"
}

***

No. 2
{
  "formula": "Zn2NiSb",
  "functional": "PBE-GGA",
  "state": "optimized geometry",
  "cell": [[3.509, 0.000, 0.000], [0.000, 3.866, 0.000], [-1.628, 0.000, 4.956]],
  "species": ["Zn", "Zn", "Ni", "Sb"],
  "fractional_positions": [[0.000, 0.000, 0.000], [0.432, 0.500, 0.867], [0.161, 0.500, 0.317], [0.719, 0.000, 0.459]],
  "n_ef_per_ev_atom": 0.34,
  "m_tot_mub_per_fu": 0.000,
  "formation_energy_uncorrected_ev_per_atom": 0.0130,
  "sg": "No. 6"
}

***

No. 3
{
  "formula": "V6Ge3Os",
  "functional": "PBE-GGA",
  "state": "optimized geometry",
  "cell": [[10.262, 0.000, 0.000], [0.000, 2.790, 0.000], [-5.111, 0.000, 10.169]],
  "species": ["V", "V", "V", "V", "V", "V", "V", "V", "V", "V", "V", "V", "Ge", "Ge", "Ge", "Ge", "Ge", "Ge", "Os", "Os"],
  "fractional_positions": [[0.081, 0.250, 0.308], [0.119, 0.750, 0.535], [0.125, 0.250, 0.947], [0.376, 0.750, 0.943], [0.377, 0.250, 0.737], [0.404, 0.750, 0.356], [0.596, 0.250, 0.644], [0.623, 0.750, 0.263], [0.624, 0.250, 0.057], [0.875, 0.750, 0.053], [0.881, 0.250, 0.465], [0.919, 0.750, 0.692], [0.153, 0.750, 0.152], [0.325, 0.250, 0.506], [0.392, 0.250, 0.140], [0.608, 0.750, 0.860], [0.675, 0.750, 0.494], [0.847, 0.250, 0.848], [0.144, 0.250, 0.738], [0.856, 0.750, 0.262]],
  "n_ef_per_ev_atom": 1.10,
  "ef_ev_per_fu": -0.31,
  "m_tot_mub_per_fu": 0.000,
  "sg": "No. 11"
}

***

No. 4
{
  "formula": "La2TbAl",
  "functional": "PBE-GGA",
  "state": "optimized geometry",
  "cell": [[1.846, 1.066, 10.907], [-1.846, 1.066, 10.907], [0.000, -2.131, 10.907]],
  "species": ["La", "La", "Tb", "Al"],
  "fractional_positions": [[0.000, 0.000, 0.000], [0.186, 0.186, 0.186], [0.760, 0.760, 0.760], [0.593, 0.593, 0.593]],
  "n_ef_per_ev_atom": 1.51,
  "ef_ev_per_fu": -0.01,
  "m_tot_mub_per_fu": 0.095,
  "sg": "No. 160"
}

***

No. 5
{
  "formula": "Ca3Ac",
  "functional": "PBE-GGA",
  "state": "optimized geometry",
  "cell": [[-1.941, 6.436, 3.406], [1.941, -6.436, 3.406], [1.941, 6.436, -3.406]],
  "species": ["Ca", "Ca", "Ca", "Ac"],
  "fractional_positions": [[0.000, 0.000, 0.000], [0.419, 0.670, 0.749], [0.921, 0.670, 0.251], [0.501, 0.001, 0.500]],
  "n_ef_per_ev_atom": 1.69,
  "ef_ev_per_fu": 0.19,
  "m_tot_mub_per_fu": 0.003,
  "sg": "No. 44"
}

***

No. 6
{
  "formula": "Nd8Dy2Sc",
  "functional": "PBE-GGA",
  "state": "optimized geometry",
  "cell": [[-2.865, 4.000, 8.171], [2.865, -4.000, 8.171], [2.865, 4.000, -8.171]],
  "species": ["Nd", "Nd", "Nd", "Nd", "Nd", "Nd", "Nd", "Nd", "Dy", "Dy", "Sc"],
  "fractional_positions": [[0.161, 0.369, 0.791], [0.168, 0.168, 0.000], [0.281, 0.000, 0.281], [0.422, 0.631, 0.791], [0.578, 0.369, 0.209], [0.719, 0.000, 0.719], [0.832, 0.832, 0.000], [0.839, 0.631, 0.209], [0.300, 0.800, 0.500], [0.700, 0.200, 0.500], [0.000, 0.500, 0.500]],
  "n_ef_per_ev_atom": 1.53,
  "ef_ev_per_fu": 1.23,
  "m_tot_mub_per_fu": 0.000,
  "sg": "No. 71"
}

***

- Number 2 is which compound?
  Zn2NiSb

***

- Which formula does entry 1 have?
  ScP2O